# 1
Here is crystalline Ba3Tl12Sb5 at its relaxed geometry from Alexandria. Energies are from PBE.

a b c (Å): 18.9170 18.9170 18.9170
angles (deg): 90.00 90.00 90.00
Space group Ia-3d (No. 230)
Symmetry-distinct sites (fractional):
Ba1 0.0000 0.2500 0.1250 (multiplicity 24)
Tl1 0.0439 0.0773 0.6402 (multiplicity 96)
Sb1 0.0000 0.0000 0.0000 (multiplicity 16)
Sb2 0.0000 0.2500 0.3750 (multiplicity 24)

Results
The energy relative to the elements, uncorrected is 0.005 eV/atom.



# 2
Here is crystalline Y4Ru at its relaxed geometry from Alexandria. Energies are from PBE.

a b c (Å): 3.9666 3.9666 18.5473
angles (deg): 90.00 90.00 90.00
Space group I4/mmm (No. 139)
Symmetry-distinct sites (fractional):
Y1 0.0000 0.0000 0.0821 (multiplicity 4)
Y2 0.0000 0.5000 0.2500 (multiplicity 4)
Ru1 0.0000 0.0000 0.5000 (multiplicity 2)

Results
The calculation puts the formation enthalpy at 0 K at 0.62 eV per atom.



Which VASP energy belongs to each record? In order, -2.734 -6.405 eV/atom.
Which total magnetic moment belongs to each record? In order, 0.0 0.8 μB per formula unit.